Entry 1:
MgInNiAu (PBE, optimized geometry); final energy = -57.545 eV per cell; E_form = -24.0 kJ/mol of atoms; ρ = 9.59 Mg/m³; DOS(E_F) = 0.600 states/eV/atom
1.0
6.491 0.000 0.000
0.000 6.491 0.000
0.000 0.000 6.491
Mg In Ni Au
4 4 4 4
Direct
0.000 0.000 0.000
0.000 0.500 0.500
0.500 0.000 0.500
0.500 0.500 0.000
0.000 0.000 0.500
0.000 0.500 0.000
0.500 0.000 0.000
0.500 0.500 0.500
0.250 0.250 0.250
0.250 0.750 0.750
0.750 0.250 0.750
0.750 0.750 0.250
0.250 0.250 0.750
0.250 0.750 0.250
0.750 0.250 0.250
0.750 0.750 0.750

Entry 2:
LaCdSN2 (PBE, optimized geometry); final energy = -23.661 eV per cell; formation energy without anion corrections = 0.59 eV/atom; ρ = 4.83 Mg/m³; energy above the most stable polymorph in this dataset = 0.155 eV/atom; DOS(E_F) = 0.572 states/eV/atom
1.0
4.169 0.000 0.000
0.000 4.169 0.000
0.000 0.000 6.163
La Cd S N
1 1 1 2
Direct
0.000 0.000 0.000
0.500 0.500 0.500
0.000 0.000 0.500
0.000 0.500 0.000
0.500 0.000 0.000

Entry 3:
TbLuNiPd (PBE, optimized geometry); final energy = -90.949 eV per cell; E_form = -63.0 kJ/mol of atoms; ρ = 10.30 Mg/m³; DOS(E_F) = 0.801 states/eV/atom
1.0
6.852 0.000 0.000
0.000 6.852 0.000
0.000 0.000 6.852
Tb Lu Ni Pd
4 4 4 4
Direct
0.000 0.000 0.000
0.000 0.500 0.500
0.500 0.000 0.500
0.500 0.500 0.000
0.000 0.000 0.500
0.000 0.500 0.000
0.500 0.000 0.000
0.500 0.500 0.500
0.250 0.250 0.250
0.250 0.750 0.750
0.750 0.250 0.750
0.750 0.750 0.250
0.250 0.250 0.750
0.250 0.750 0.250
0.750 0.250 0.250
0.750 0.750 0.750

Entry 4:
NaCu2Hg2 (PBE, optimized geometry); final energy = -19.802 eV per cell; E_form = 4.1 kJ/mol of atoms; ρ = 9.79 Mg/m³; energy above the most stable polymorph in this dataset = 0.000 eV/atom; DOS(E_F) = 0.280 states/eV/atom
1.0
7.776 0.000 0.000
0.000 7.776 0.000
0.000 0.000 3.092
Na Cu Hg
2 4 4
Direct
0.000 0.000 0.000
0.500 0.500 0.000
0.116 0.384 0.000
0.384 0.884 0.000
0.616 0.116 0.000
0.884 0.616 0.000
0.179 0.679 0.500
0.321 0.179 0.500
0.679 0.821 0.500
0.821 0.321 0.500